The following is a PBE with a Hubbard U calculation of a relaxed CdNiOF2 crystal, from the Alexandria database.

Lattice parameters (Å, degrees): 3.8626 3.8626 4.1210 90.00 90.00 90.00
With the nearest neighbours (Å) after each atom.
Atoms (fractional coordinates):
1 Ni 0.0000 0.0000 0.0000  4 F 1.93, 2 O 2.06
2 F 0.0000 0.5000 0.0000  2 Ni 1.93
3 F 0.5000 0.0000 0.0000  2 Ni 1.93
4 Cd 0.5000 0.5000 0.5000  4 O 2.73, 8 F 2.82
5 O 0.0000 0.0000 0.5000  2 Ni 2.06

total magnetization: 2.0 μB/cell
total energy: -3.87 eV/atom
energy relative to the lowest polymorph listed for this composition: 0.0000 eV/atom
theoretical density: 6.080 g/cm3
Fermi-level density of states: 0.3 states/eV/cell